1.
# BaCaB2 (PBE-GGA, optimized geometry)
# Total moment: 0.00 μB per cell
# Excess energy over the best structure of this formula in the dataset: 209.7 meV per atom
# Energy relative to the elements: 1.194 eV per atom
data_BaCaB2
_chemical_formula_sum 'Ba4 Ca4 B8'
_space_group_name_H-M_alt 'I 41/a m d'
_space_group_IT_number 141
_cell_length_a 4.6095
_cell_length_b 4.6095
_cell_length_c 18.1108
_cell_angle_alpha 90.00
_cell_angle_beta 90.00
_cell_angle_gamma 90.00
loop_
_space_group_symop_operation_xyz
'x,y,z'
'-x,-y,-z'
'-y+1/4,x+3/4,z+1/4'
'y+1/4,-x+3/4,-z+1/4'
'-x+1/2,-y,z+1/2'
'x+1/2,y,-z+1/2'
'y+1/4,-x+1/4,z+3/4'
'-y+1/4,x+1/4,-z+3/4'
'x,-y,-z'
'-x,y,z'
'-y+1/4,-x+1/4,-z+3/4'
'y+1/4,x+1/4,z+3/4'
'-x+1/2,y,-z+1/2'
'x+1/2,-y,z+1/2'
'y+1/4,x+3/4,-z+1/4'
'-y+1/4,-x+3/4,z+1/4'
'x+1/2,y+1/2,z+1/2'
'-x+1/2,-y+1/2,-z+1/2'
'-y+3/4,x+1/4,z+3/4'
'y+3/4,-x+1/4,-z+3/4'
'-x,-y+1/2,z'
'x,y+1/2,-z'
'y+3/4,-x+3/4,z+1/4'
'-y+3/4,x+3/4,-z+1/4'
'x+1/2,-y+1/2,-z+1/2'
'-x+1/2,y+1/2,z+1/2'
'-y+3/4,-x+3/4,-z+1/4'
'y+3/4,x+3/4,z+1/4'
'-x,y+1/2,-z'
'x,-y+1/2,z'
'y+3/4,x+1/4,-z+3/4'
'-y+3/4,-x+1/4,z+3/4'
loop_
_atom_site_label
_atom_site_type_symbol
_atom_site_fract_x
_atom_site_fract_y
_atom_site_fract_z
Ba1 Ba 0.0000 0.2500 0.3750
Ca1 Ca 0.0000 0.2500 0.8750
B1 B 0.0000 0.0000 0.0000

=====

2.
# Dy4Ho3Bi4 (PBE-GGA, optimized geometry)
# Total moment: 4.19 μB per cell
# Energy relative to the elements: -0.516 eV per atom
data_Dy4Ho3Bi4
_chemical_formula_sum 'Dy8 Ho6 Bi8'
_space_group_name_H-M_alt 'I m m m'
_space_group_IT_number 71
_space_group_name_Hall '-I 2 2'
_cell_length_a 4.0536
_cell_length_b 9.3034
_cell_length_c 17.7765
_cell_angle_alpha 90.00
_cell_angle_beta 90.00
_cell_angle_gamma 90.00
loop_
_atom_site_label
_atom_site_type_symbol
_atom_site_fract_x
_atom_site_fract_y
_atom_site_fract_z
Dy1 Dy 0.0000 0.1839 0.1655
Ho1 Ho 0.0000 0.0000 0.3984
Ho2 Ho 0.0000 0.5000 0.5000
Bi1 Bi 0.0000 0.2956 0.0000
Bi2 Bi 0.0000 0.5000 0.2364

=====

3.
# ScIr3I (PBE-GGA, optimized geometry)
# Total moment: 0.00 μB per cell
# E_form (uncorrected): 1.369 eV per atom
# Excess energy over the best structure of this formula in the dataset: 0.0 meV per atom
data_ScIr3I
_chemical_formula_sum 'Sc1 Ir3 I1'
_space_group_name_H-M_alt 'P m -3 m'
_space_group_IT_number 221
_space_group_name_Hall '-P 4 2 3'
_cell_length_a 4.8440
_cell_length_b 4.8440
_cell_length_c 4.8440
_cell_angle_alpha 90.00
_cell_angle_beta 90.00
_cell_angle_gamma 90.00
loop_
_atom_site_label
_atom_site_type_symbol
_atom_site_fract_x
_atom_site_fract_y
_atom_site_fract_z
Sc1 Sc 0.0000 0.0000 0.0000
Ir1 Ir 0.0000 0.5000 0.5000
I1 I 0.5000 0.5000 0.5000

=====

4.
# ZrInBr2 (PBE-GGA, optimized geometry)
# Total moment: 0.80 μB per cell
# E_form (uncorrected): -0.527 eV per atom
# Excess energy over the best structure of this formula in the dataset: 234.4 meV per atom
data_ZrInBr2
_chemical_formula_sum 'Zr1 In1 Br2'
_space_group_name_H-M_alt 'P 4 m m'
_space_group_IT_number 99
_cell_length_a 3.4726
_cell_length_b 3.4726
_cell_length_c 8.6341
_cell_angle_alpha 90.00
_cell_angle_beta 90.00
_cell_angle_gamma 90.00
loop_
_space_group_symop_operation_xyz
'x,y,z'
'-y,x,z'
'-x,-y,z'
'y,-x,z'
'-x,y,z'
'y,x,z'
'x,-y,z'
'-y,-x,z'
loop_
_atom_site_label
_atom_site_type_symbol
_atom_site_fract_x
_atom_site_fract_y
_atom_site_fract_z
Zr1 Zr 0.0000 0.0000 0.0000
In1 In 0.5000 0.5000 0.7673
Br1 Br 0.0000 0.0000 0.5496
Br2 Br 0.5000 0.5000 0.1790

=====

5.
# ScTlAs2 (PBE-GGA, optimized geometry)
# Total moment: 0.00 μB per cell
# Excess energy over the best structure of this formula in the dataset: 242.4 meV per atom
# Energy relative to the elements: -0.283 eV per atom
data_ScTlAs2
_chemical_formula_sum 'Sc1 Tl1 As2'
_space_group_name_H-M_alt 'P 4/m m m'
_space_group_IT_number 123
_space_group_name_Hall '-P 4 2'
_cell_length_a 4.7833
_cell_length_b 4.7833
_cell_length_c 3.7224
_cell_angle_alpha 90.00
_cell_angle_beta 90.00
_cell_angle_gamma 90.00
loop_
_atom_site_label
_atom_site_type_symbol
_atom_site_fract_x
_atom_site_fract_y
_atom_site_fract_z
Sc1 Sc 0.0000 0.0000 0.0000
Tl1 Tl 0.5000 0.5000 0.0000
As1 As 0.0000 0.5000 0.5000